CsNiAg2, optimized geometry, DFT PBE; density of states at the Fermi level = 1.051 states/eV/atom; mass density = 6.59 Mg/m³; energy = -0.158 Ry/atom; magnetization = 0.00 μB/cell; crystal system = cubic; energy of formation = 3.73 eV per formula unit
1.0
0.000 3.716 3.716
3.716 0.000 3.716
3.716 3.716 0.000
Ni Ag Cs
1 2 1
direct
0.000 0.000 0.000
0.750 0.750 0.750
0.250 0.250 0.250
0.500 0.500 0.500